VASP calculation (PBE) on a relaxed Pu2Ga6Tc crystal.

Geometry as extended XYZ:
```
9
Lattice="-2.071 -4.371 2.870 5.795 0.062 4.276 -3.991 4.594 -0.723" Properties=species:S:1:pos:R:3 pbc="T T T"
Pu 0.716 -1.851 5.122
Pu -0.982 2.136 1.301
Ga 3.789 -2.134 4.995
Ga -1.269 0.179 3.898
Ga 1.002 0.107 2.525
Ga -3.352 0.156 2.360
Tc 0.000 0.000 0.000
Ga -0.064 -2.175 2.152
Ga 3.086 0.129 4.063
```

Computed properties:
Symmetry: No. 12
Energy of formation from the pure elements: -0.168 eV/atom
ΔE to the lowest computed polymorph: 1.084 eV/f.u.
DOS(E_F): 18.93 states/eV/f.u.